## KAlCo2 (GGA-PBE)

Data for crystalline KAlCo2 at its relaxed geometry.

Cell lengths 4.6998, 4.6998, 9.1335 Å; angles 75.09, 75.09, 90.00 degrees
Site moments in Bohr magnetons follow the coordinates.
Positions (direct):
K 0.0000 0.0000 0.0000  -0.01
K 0.7500 0.2500 0.5000  -0.01
Co 0.3747 0.1250 0.2500  1.59
Co 0.3753 0.6250 0.2500  1.60
Co 0.3750 0.6253 0.7500  1.35
Co 0.8750 0.6247 0.7500  1.36
Al 0.5000 0.5000 0.0000  -0.05
Al 0.2500 0.7500 0.5000  -0.05

## Properties
- E_form: 0.714 eV/atom
- Magnetization: 5.4 μB per cell
- SG: No. 141